# Zn2CrPd9

An optimized crystal structure of Zn2CrPd9 (PBE-GGA, Alexandria via LeMat-Bulk).

Structure (POSCAR):
```
Zn2CrPd9
1.0
3.8982 0.0000 0.0000
0.0000 3.8982 0.0000
0.0000 0.0000 11.8114
Zn Cr Pd
2 1 9
direct
0.0000 0.0000 0.1643 Zn
0.0000 0.0000 0.8357 Zn
0.0000 0.0000 0.5000 Cr
0.0000 0.5000 0.0000 Pd
0.0000 0.5000 0.3355 Pd
0.0000 0.5000 0.6645 Pd
0.5000 0.0000 0.0000 Pd
0.5000 0.0000 0.3355 Pd
0.5000 0.0000 0.6645 Pd
0.5000 0.5000 0.1685 Pd
0.5000 0.5000 0.5000 Pd
0.5000 0.5000 0.8315 Pd
```

Space group ... No. 123
Formation energy from the elements ... -22 kJ/mol of atoms
ρ ... 10552 kg/m³
Total energy ... -5.140 eV/atom
Size of the total moment ... 2.353 Bohr magnetons per cell
Crystal system ... tetragonal